This record from Alexandria describes Th3SbAs2Rh9 after structural relaxation. The functional is PBE.

```
Th3SbAs2Rh9
1.0
5.712 0.000 0.000
-2.856 4.947 0.000
0.000 0.000 11.146
Th Sb As Rh
3 1 2 9
direct
0.000 0.000 0.000
0.333 0.667 0.742
0.667 0.333 0.258
0.000 0.000 0.500
0.333 0.667 0.162
0.667 0.333 0.838
0.000 0.500 0.000
0.161 0.322 0.313
0.161 0.839 0.313
0.322 0.161 0.687
0.500 0.000 0.000
0.500 0.500 0.000
0.678 0.839 0.313
0.839 0.161 0.687
0.839 0.678 0.687
```

calculated volume = 315 Å³ per cell
DOS(E_F) = 7.30 states/eV/cell
E_tot = -7.3829 eV per atom
raw formation energy = -0.593 eV per atom
symmetry = P-3m1, No. 164